[1]
NiOsRu (PBE-GGA, relaxed); DFT formation energy = 0.267 eV per atom; symmetry = Cm, No. 8; VASP energy = -101.94 eV for the cell shown; D(E_F) = 0.9244 states/eV per atom; E above lowest polymorph = 0.223 eV/atom
1.0
-4.539 0.545 -1.366
0.773 -2.105 -3.409
-1.209 -7.272 4.217
Os Ni Ru
4 4 4
Direct
0.042 0.000 0.492
0.939 0.500 0.676
0.042 0.500 0.992
0.939 0.000 0.176
0.693 0.000 0.910
0.168 0.500 0.317
0.168 0.000 0.817
0.693 0.500 0.410
0.562 0.000 0.610
0.562 0.500 0.110
0.456 0.000 0.293
0.456 0.500 0.793

---

[2]
NiOs2Ru (PBE-GGA, relaxed); DFT formation energy = 0.215 eV per atom; symmetry = Cmmm, No. 65; VASP energy = -36.66 eV for the cell shown; D(E_F) = 1.1735 states/eV per atom; E above lowest polymorph = 0.077 eV/atom
1.0
-2.183 3.733 1.665
-1.230 -3.757 2.416
2.031 0.429 1.701
Ni Os Ru
1 2 1
Direct
0.000 0.500 0.500
0.500 0.500 0.000
0.000 0.000 0.000
0.500 0.000 0.500

---

[3]
Ni2OsRu (PBE-GGA, relaxed); DFT formation energy = 0.082 eV per atom; symmetry = P-1, No. 2; VASP energy = -63.48 eV for the cell shown; D(E_F) = 1.1870 states/eV per atom; E above lowest polymorph = 0.008 eV/atom
1.0
4.593 0.001 0.000
0.116 4.955 0.003
0.117 2.267 4.424
Ni Ru Os
4 2 2
Direct
0.588 0.496 0.760
0.088 0.257 0.997
0.912 0.743 0.003
0.412 0.504 0.240
0.912 0.250 0.504
0.088 0.750 0.496
0.590 0.999 0.250
0.410 0.001 0.750

---

[4]
Ni2OsRu (PBE-GGA, relaxed); DFT formation energy = 0.093 eV per atom; symmetry = Cm, No. 8; VASP energy = -31.70 eV for the cell shown; D(E_F) = 1.2141 states/eV per atom; E above lowest polymorph = 0.019 eV/atom
1.0
4.557 0.006 -0.005
3.792 2.527 -0.005
0.762 0.231 4.386
Ni Ru Os
2 1 1
Direct
0.251 0.251 0.240
0.998 0.998 0.013
0.749 0.749 0.743
0.502 0.502 0.504